Below is a relaxed InSi2GeI crystal, with properties calculated at the PBE level.

abc: 4.9709 4.9709 6.1252
angles: 90.00 90.00 90.00
Space group P4/mmm (No. 123)
Symmetry-distinct sites (fractional):
In 0.0000 0.0000 0.0000 (multiplicity 1)
Si 0.0000 0.5000 0.5000 (multiplicity 2)
Ge 0.5000 0.5000 0.5000 (multiplicity 1)
I 0.5000 0.5000 0.0000 (multiplicity 1)

Results
The final energy comes out at -3.217 eV per atom. As for the formation energy from raw total energies: 0.73 eV per atom.